1.
# Mn11ZnO16, PBEsol geometry, DFT meta-GGA SCAN
# - uncorrected formation energy (eV/atom) = -2.114
data_Mn11ZnO16
_chemical_formula_sum 'Mn22 Zn2 O32'
_space_group_name_H-M_alt 'C 2 2 2'
_space_group_IT_number 21
_cell_length_a 8.1286
_cell_length_b 9.3150
_cell_length_c 8.1290
_cell_angle_alpha 90.00
_cell_angle_beta 90.00
_cell_angle_gamma 90.00
loop_
_space_group_symop_operation_xyz
'x,y,z'
'-x,-y,z'
'x,-y,-z'
'-x,y,-z'
'x+1/2,y+1/2,z'
'-x+1/2,-y+1/2,z'
'x+1/2,-y+1/2,-z'
'-x+1/2,y+1/2,-z'
loop_
_atom_site_label
_atom_site_fract_x
_atom_site_fract_y
_atom_site_fract_z
Mn1 0.0000 0.0000 0.0000
Mn2 0.1242 0.3754 0.1266
Mn3 0.1263 0.1252 0.3761
Mn4 0.2500 0.2500 0.7498
Zn1 0.0000 0.5000 0.5000
O1 0.1115 0.1196 0.6127
O2 0.1126 0.3808 0.8886
O3 0.1365 0.3708 0.3636
O4 0.1383 0.1307 0.1386

2.
# Mn3Os, PBEsol geometry, DFT meta-GGA SCAN
# - calculated formation energy (meV per atom) = -25.7
data_Mn3Os
_chemical_formula_sum 'Mn3 Os1'
_space_group_name_H-M_alt 'P 4/m m m'
_space_group_IT_number 123
_space_group_name_Hall '-P 4 2'
_cell_length_a 2.5806
_cell_length_b 2.5806
_cell_length_c 6.9657
_cell_angle_alpha 90.00
_cell_angle_beta 90.00
_cell_angle_gamma 90.00
loop_
_atom_site_label
_atom_site_fract_x
_atom_site_fract_y
_atom_site_fract_z
Mn1 0.0000 0.0000 0.0000
Mn2 0.5000 0.5000 0.2370
Os1 0.0000 0.0000 0.5000

| no. | E (eV/atom) |
| --- | --- |
| 1 | -13.329 |
| 2 | -31.687 |